(1)
MnCo2Br after structural relaxation, computed with PBE.

## Properties
* SG: Immm (71)
* formation energy without anion corrections: 659 meV per atom

a = 5.0646 Å, b = 5.0646 Å, c = 5.0646 Å
α = 145.56°, β = 129.53°, γ = 62.54°
Atoms (fractional coordinates):
Mn 0.0000 0.0000 0.0000
Co 0.2518 0.7518 0.5000
Co 0.7482 0.2482 0.5000
Br 0.5000 0.5000 0.0000



(2)
Mn2CoNiBr after structural relaxation, computed with PBE.

## Properties
* SG: P4/mmm (123)
* formation energy without anion corrections: 1209 meV per atom

a = 4.4946 Å, b = 4.4946 Å, c = 4.2437 Å
α = 90.00°, β = 90.00°, γ = 90.00°
Atoms (fractional coordinates):
Mn 0.0000 0.5000 0.0000
Mn 0.5000 0.0000 0.0000
Co 0.0000 0.0000 0.5000
Ni 0.5000 0.5000 0.5000
Br 0.5000 0.5000 0.0000



(3)
RbMnCo2Br8 after structural relaxation, computed with PBE.

## Properties
* SG: R-3 (148)
* formation energy without anion corrections: -622 meV per atom

a = 10.6436 Å, b = 10.6436 Å, c = 10.6436 Å
α = 36.75°, β = 36.75°, γ = 36.75°
Atoms (fractional coordinates):
Rb 0.0000 0.0000 0.0000
Mn 0.5000 0.5000 0.5000
Co 0.2439 0.2439 0.2439
Co 0.7561 0.7561 0.7561
Br 0.1217 0.7736 0.4435
Br 0.2264 0.5565 0.8783
Br 0.3222 0.3222 0.3222
Br 0.4435 0.1217 0.7736
Br 0.5565 0.8783 0.2264
Br 0.6778 0.6778 0.6778
Br 0.7736 0.4435 0.1217
Br 0.8783 0.2264 0.5565



(4)
MnCoSe2Br after structural relaxation, computed with PBE.

## Properties
* SG: P4/mmm (123)
* formation energy without anion corrections: 367 meV per atom

a = 4.6831 Å, b = 4.6831 Å, c = 4.9781 Å
α = 90.00°, β = 90.00°, γ = 90.00°
Atoms (fractional coordinates):
Mn 0.0000 0.0000 0.0000
Co 0.5000 0.5000 0.5000
Se 0.0000 0.5000 0.5000
Se 0.5000 0.0000 0.5000
Br 0.5000 0.5000 0.0000



(5)
MnCoSeBr2 after structural relaxation, computed with PBE.

## Properties
* SG: P4/mmm (123)
* formation energy without anion corrections: 279 meV per atom

a = 4.8888 Å, b = 4.8888 Å, c = 4.7679 Å
α = 90.00°, β = 90.00°, γ = 90.00°
Atoms (fractional coordinates):
Mn 0.0000 0.0000 0.0000
Co 0.5000 0.5000 0.5000
Se 0.5000 0.5000 0.0000
Br 0.0000 0.5000 0.5000
Br 0.5000 0.0000 0.5000



(6)
Mn2CoSiBr after structural relaxation, computed with PBE.

## Properties
* SG: P4/mmm (123)
* formation energy without anion corrections: 1153 meV per atom

a = 4.5234 Å, b = 4.5234 Å, c = 4.2883 Å
α = 90.00°, β = 90.00°, γ = 90.00°
Atoms (fractional coordinates):
Mn 0.0000 0.5000 0.0000
Mn 0.5000 0.0000 0.0000
Co 0.0000 0.0000 0.5000
Si 0.5000 0.5000 0.5000
Br 0.0000 0.0000 0.0000



(7)
MnTl2CoBr6 after structural relaxation, computed with PBE.

## Properties
* SG: R3 (146)
* formation energy without anion corrections: -588 meV per atom

a = 7.3389 Å, b = 7.3389 Å, c = 7.3389 Å
α = 61.16°, β = 61.16°, γ = 61.16°
Atoms (fractional coordinates):
Mn 0.0000 0.0000 0.0000
Tl 0.2523 0.2523 0.2523
Tl 0.7486 0.7486 0.7486
Co 0.5000 0.5000 0.5000
Br 0.1992 0.3073 0.7459
Br 0.2540 0.8004 0.6927
Br 0.3073 0.7459 0.1992
Br 0.6927 0.2540 0.8004
Br 0.7459 0.1992 0.3073
Br 0.8004 0.6927 0.2540



(8)
MnV2CoBr after structural relaxation, computed with PBE.

## Properties
* SG: P4/mmm (123)
* formation energy without anion corrections: 1095 meV per atom

a = 4.5224 Å, b = 4.5224 Å, c = 4.2382 Å
α = 90.00°, β = 90.00°, γ = 90.00°
Atoms (fractional coordinates):
Mn 0.0000 0.0000 0.0000
V 0.0000 0.5000 0.5000
V 0.5000 0.0000 0.5000
Co 0.5000 0.5000 0.0000
Br 0.5000 0.5000 0.5000